First-principles (SCAN) data for a crystal of ScTaRh relaxed with PBEsol, as listed in Alexandria.

Cell: 3.0185 3.0185 6.5865 Å, 90.00 90.00 120.00°
Space group P3m1 (No. 156)
Symmetry-distinct sites (fractional):
Sc 0.0000 0.0000 0.0000
Ta 0.3333 0.6667 0.6319
Rh 0.6667 0.3333 0.3291

Properties
Fermi-level density of states, states/eV/atom: 0.759
Energy above the most stable polymorph in this dataset, meV/atom: 0
Magnetization, μB/cell: 0.000
E_form, eV per atom: -0.1995